## w
A plane-wave DFT calculation with GGA-PBE was carried out for crystalline Mg5Zn3 at its relaxed geometry.

a = 8.4911 Å, b = 8.4813 Å, c = 4.4147 Å
α = 75.05°, β = 74.80°, γ = 30.15°
Atoms (fractional coordinates):
Mg 0.0000 0.0000 0.0000
Mg 0.1342 0.1342 0.3658
Mg 0.3658 0.3658 0.1342
Mg 0.6342 0.6342 0.8658
Mg 0.8658 0.8658 0.6342
Zn 0.2485 0.2485 0.7515
Zn 0.5000 0.5000 0.5000
Zn 0.7515 0.7515 0.2485

Crystal system   orthorhombic
Calculated density   3.4 g cm⁻³
Space-group type   Fmmm



## x
A plane-wave DFT calculation with GGA-PBE was carried out for crystalline Mg5Zn3 at its relaxed geometry.

a = 8.0344 Å, b = 8.0344 Å, c = 7.8603 Å
α = 95.92°, β = 95.92°, γ = 139.54°
Atoms (fractional coordinates):
Mg 0.0635 0.7056 0.7961
Mg 0.2251 0.4296 0.6421
Mg 0.2530 0.2530 0.0069
Mg 0.2944 0.9365 0.2039
Mg 0.4296 0.2251 0.6421
Mg 0.5704 0.7749 0.3579
Mg 0.7056 0.0635 0.7961
Mg 0.7470 0.7470 0.9931
Mg 0.7749 0.5704 0.3579
Mg 0.9365 0.2944 0.2039
Zn 0.1226 0.1226 0.3339
Zn 0.2487 0.7513 0.5000
Zn 0.3355 0.6645 0.0000
Zn 0.6645 0.3355 0.0000
Zn 0.7513 0.2487 0.5000
Zn 0.8774 0.8774 0.6661

Crystal system   monoclinic
Calculated density   3.4 g cm⁻³
Space-group type   C2/m



## y
A plane-wave DFT calculation with GGA-PBE was carried out for crystalline Mg5Zn3 at its relaxed geometry.

a = 8.0475 Å, b = 8.0475 Å, c = 5.6201 Å
α = 90.00°, β = 90.00°, γ = 120.00°
Atoms (fractional coordinates):
Mg 0.0000 0.2489 0.2500
Mg 0.0000 0.7511 0.7500
Mg 0.2489 0.0000 0.2500
Mg 0.2489 0.2489 0.7500
Mg 0.3333 0.6667 0.0000
Mg 0.3333 0.6667 0.5000
Mg 0.6667 0.3333 0.0000
Mg 0.6667 0.3333 0.5000
Mg 0.7511 0.0000 0.7500
Mg 0.7511 0.7511 0.2500
Zn 0.0000 0.3968 0.7500
Zn 0.0000 0.6032 0.2500
Zn 0.3968 0.0000 0.7500
Zn 0.3968 0.3968 0.2500
Zn 0.6032 0.0000 0.2500
Zn 0.6032 0.6032 0.7500

Crystal system   hexagonal
Calculated density   3.3 g cm⁻³
Space-group type   P6_3/mcm



So which one is most stable? That would be y, about 12 meV per atom below the next structure.



## w
A plane-wave DFT calculation with GGA-PBE was carried out for crystalline Mg3Zn4 at its relaxed geometry.

a = 5.7093 Å, b = 5.7093 Å, c = 4.8304 Å
α = 90.00°, β = 90.00°, γ = 120.00°
Atoms (fractional coordinates):
Mg 0.0000 0.5000 0.0000
Mg 0.5000 0.0000 0.0000
Mg 0.5000 0.5000 0.0000
Zn 0.0000 0.0000 0.2528
Zn 0.0000 0.0000 0.7472
Zn 0.3333 0.6667 0.5000
Zn 0.6667 0.3333 0.5000

Crystal system   hexagonal
Calculated density   4.1 g cm⁻³
Space-group type   P6/mmm



## x
A plane-wave DFT calculation with GGA-PBE was carried out for crystalline Mg3Zn4 at its relaxed geometry.

a = 11.2821 Å, b = 11.2821 Å, c = 11.2821 Å
α = 162.75°, β = 162.75°, γ = 24.49°
Atoms (fractional coordinates):
Mg 0.0000 0.0000 0.0000
Mg 0.2953 0.2953 0.0000
Mg 0.7047 0.7047 0.0000
Zn 0.1325 0.1325 0.0000
Zn 0.4270 0.4270 0.0000
Zn 0.5730 0.5730 0.0000
Zn 0.8675 0.8675 0.0000

Crystal system   tetragonal
Calculated density   4.4 g cm⁻³
Space-group type   I4/mmm



So which one is most stable? That would be x, about 117 meV per atom below the next structure.



## w
A plane-wave DFT calculation with GGA-PBE was carried out for crystalline Mg3Zn5 at its relaxed geometry.

a = 8.4095 Å, b = 8.4095 Å, c = 4.8647 Å
α = 90.00°, β = 90.00°, γ = 59.91°
Atoms (fractional coordinates):
Mg 0.1114 0.4998 0.2500
Mg 0.1110 0.8890 0.7500
Mg 0.4998 0.1114 0.7500
Mg 0.5002 0.8886 0.2500
Mg 0.8890 0.1110 0.2500
Mg 0.8886 0.5002 0.7500
Zn 0.1666 0.1666 0.0000
Zn 0.1666 0.1666 0.5000
Zn 0.3085 0.6915 0.2500
Zn 0.3086 0.5002 0.7500
Zn 0.5002 0.3086 0.2500
Zn 0.4998 0.6914 0.7500
Zn 0.6914 0.4998 0.2500
Zn 0.6915 0.3085 0.7500
Zn 0.8334 0.8334 0.0000
Zn 0.8334 0.8334 0.5000

Crystal system   orthorhombic
Calculated density   4.5 g cm⁻³
Space-group type   Cmcm



## x
A plane-wave DFT calculation with GGA-PBE was carried out for crystalline Mg3Zn5 at its relaxed geometry.

a = 5.7157 Å, b = 5.7157 Å, c = 4.2602 Å
α = 90.00°, β = 90.00°, γ = 96.51°
Atoms (fractional coordinates):
Mg 0.0000 0.0000 0.0000
Mg 0.2574 0.7426 0.5000
Mg 0.7426 0.2574 0.5000
Zn 0.0000 0.5000 0.0000
Zn 0.2519 0.2519 0.5000
Zn 0.5000 0.0000 0.0000
Zn 0.5000 0.5000 0.0000
Zn 0.7481 0.7481 0.5000

Crystal system   orthorhombic
Calculated density   4.8 g cm⁻³
Space-group type   Cmmm



## y
A plane-wave DFT calculation with GGA-PBE was carried out for crystalline Mg3Zn5 at its relaxed geometry.

a = 4.8478 Å, b = 8.0825 Å, c = 8.0904 Å
α = 93.44°, β = 107.13°, γ = 102.94°
Atoms (fractional coordinates):
Mg 0.1961 0.3879 0.0226
Mg 0.2387 0.5907 0.4043
Mg 0.3018 0.9732 0.6147
Mg 0.6982 0.0268 0.3853
Mg 0.7613 0.4093 0.5957
Mg 0.8039 0.6121 0.9774
Zn 0.0613 0.8729 0.2570
Zn 0.2344 0.2180 0.3311
Zn 0.2651 0.6722 0.7816
Zn 0.2811 0.0393 0.0316
Zn 0.4405 0.7402 0.1337
Zn 0.5595 0.2598 0.8663
Zn 0.7189 0.9607 0.9684
Zn 0.7349 0.3278 0.2184
Zn 0.7656 0.7820 0.6689
Zn 0.9387 0.1271 0.7430

Crystal system   triclinic
Calculated density   4.5 g cm⁻³
Space-group type   P-1



So which one is most stable? That would be x, about 12 meV per atom below the next structure.